Record 1
Material: Tb4HgPSe2
Method: DFT, PBE-GGA
State: relaxed

Computed properties:
For the size of the total moment, the calculation gives 0.000 μB per formula unit. The uncorrected formation energy is -1.386 eV/atom.

```
Tb4HgPSe2
1.0
-2.975 2.748 0.298
-4.551 -4.584 -3.172
-3.194 -4.014 5.123
Tb Hg P Se
4 1 1 2
direct
0.000 0.752 0.736
0.000 0.248 0.264
0.500 0.739 0.267
0.500 0.261 0.733
0.500 0.500 0.000
0.000 0.500 0.500
0.000 0.000 0.000
0.500 0.000 0.500
```


Record 2
Material: PdRuS2
Method: DFT, PBE-GGA
State: relaxed

Computed properties:
For the size of the total moment, the calculation gives 0.000 μB per formula unit. The uncorrected formation energy is 0.207 eV/atom. As for the relative energy among the computed polymorphs: 0.388 eV/atom.

```
PdRuS2
1.0
3.131 1.300 2.666
-0.804 3.045 2.947
-0.161 -1.037 4.183
Ru S Pd
1 2 1
direct
0.000 0.000 0.000
0.250 0.250 0.250
0.750 0.750 0.750
0.500 0.500 0.500
```


Record 3
Material: Ac3Tl3InSe8
Method: DFT, PBE-GGA
State: relaxed

Computed properties:
For the size of the total moment, the calculation gives 0.000 μB per formula unit. The uncorrected formation energy is -1.152 eV/atom.

```
Ac3Tl3InSe8
1.0
-7.674 1.342 -4.378
3.513 -8.205 0.448
-3.654 3.714 7.543
Ac Tl In Se
3 3 1 8
direct
0.500 0.000 0.500
0.500 0.500 0.500
0.000 0.500 0.500
0.000 0.000 0.000
0.000 0.500 0.000
0.500 0.500 0.000
0.000 0.000 0.500
0.259 0.517 0.276
0.741 0.483 0.724
0.777 0.554 0.289
0.223 0.446 0.711
0.777 0.012 0.288
0.223 0.988 0.712
0.235 0.012 0.288
0.765 0.988 0.712
```


Record 4
Material: Y8Rh
Method: DFT, PBE-GGA
State: relaxed

Computed properties:
The formation energy from the elements comes out at -66.6 kJ/mol of formula units. For the size of the total moment, the calculation gives 0.000 μB per formula unit.

```
Y8Rh
1.0
-1.043 -7.679 -3.914
-1.892 6.238 5.735
-3.776 4.298 -6.531
Y Rh
8 1
direct
0.335 0.000 0.335
0.665 0.000 0.665
0.000 0.665 0.665
0.358 0.642 0.000
0.642 0.642 0.284
0.000 0.335 0.335
0.358 0.358 0.716
0.642 0.358 0.000
0.000 0.000 0.000
```


Record 5
Material: PmNbNiRu
Method: DFT, PBE-GGA
State: relaxed

Computed properties:
The formation energy from the elements comes out at 2.1 kJ/mol of formula units. For the size of the total moment, the calculation gives 0.000 μB per formula unit.

```
PmNbNiRu
1.0
4.671 0.000 0.000
2.335 4.045 0.000
2.335 1.348 3.813
Ru Nb Ni Pm
1 1 1 1
direct
0.750 0.750 0.750
0.500 0.500 0.500
0.250 0.250 0.250
0.000 0.000 0.000
```


Record 6
Material: Tl4H12Br
Method: DFT, PBE-GGA
State: relaxed

Computed properties:
As for the raw total energy: -2.882 eV/atom. For the size of the total moment, the calculation gives 1.636 μB per formula unit.

```
Tl4H12Br
1.0
6.858 0.000 -2.425
-3.429 5.939 -2.424
0.000 0.000 7.273
Tl H Br
4 12 1
direct
0.000 0.500 0.000
0.000 0.000 0.500
0.500 0.000 0.000
0.500 0.500 0.500
0.700 0.153 0.546
0.847 0.454 0.300
0.454 0.607 0.153
0.153 0.454 0.607
0.546 0.393 0.847
0.153 0.546 0.700
0.546 0.700 0.153
0.454 0.300 0.847
0.847 0.546 0.393
0.607 0.153 0.454
0.393 0.847 0.546
0.300 0.847 0.454
0.000 0.000 0.000
```


Record 7
Material: Hg2OsPb
Method: DFT, PBE-GGA
State: relaxed

Computed properties:
The formation energy from the elements comes out at 335.6 kJ/mol of formula units. For the size of the total moment, the calculation gives 0.000 μB per formula unit.

```
Hg2OsPb
1.0
-2.925 0.025 2.895
-2.833 -0.876 -2.854
-1.329 -10.832 1.677
Pb Os Hg
2 2 4
direct
0.000 0.000 0.000
0.750 0.250 0.500
0.500 0.500 0.000
0.250 0.750 0.500
0.603 0.125 0.250
0.147 0.625 0.250
0.375 0.397 0.750
0.875 0.853 0.750
```


Record 8
Material: Ca2YSe
Method: DFT, PBE-GGA
State: relaxed

Computed properties:
For the size of the total moment, the calculation gives 1.104 μB per formula unit. The uncorrected formation energy is -0.801 eV/atom. As for the relative energy among the computed polymorphs: 0.045 eV/atom.

```
Ca2YSe
1.0
-2.382 3.415 -9.379
-0.202 0.295 -10.255
-3.999 -0.139 -9.449
Y Ca Se
1 2 1
direct
0.750 0.750 0.750
0.978 0.978 0.978
0.522 0.522 0.522
0.250 0.250 0.250
```


Record 9
Material: Zn2HgBi
Method: DFT, PBE-GGA
State: relaxed

Computed properties:
The formation energy from the elements comes out at 55.3 kJ/mol of formula units. For the size of the total moment, the calculation gives 0.000 μB per formula unit. As for the relative energy among the computed polymorphs: 0.000 eV/atom.

```
Zn2HgBi
1.0
-2.593 2.616 2.254
-2.910 -1.665 2.721
2.103 0.496 5.980
Zn Bi Hg
2 1 1
direct
0.257 0.257 0.229
0.743 0.743 0.771
0.500 0.500 0.500
0.000 0.000 0.000
```


Record 10
Material: Ca2HfO4
Method: DFT, PBE-GGA
State: relaxed

Computed properties:
For the size of the total moment, the calculation gives 0.000 μB per formula unit. The uncorrected formation energy is -3.252 eV/atom.

```
Ca2HfO4
1.0
5.680 0.000 0.000
0.000 5.795 0.000
0.000 0.000 11.933
Ca Hf O
8 4 16
direct
0.012 0.053 0.345
0.012 0.447 0.845
0.488 0.553 0.345
0.488 0.947 0.845
0.512 0.053 0.155
0.512 0.447 0.655
0.988 0.553 0.155
0.988 0.947 0.655
0.000 0.000 0.000
0.000 0.500 0.500
0.500 0.500 0.000
0.500 0.000 0.500
0.094 0.459 0.332
0.094 0.041 0.832
0.198 0.300 0.033
0.198 0.200 0.533
0.302 0.800 0.033
0.302 0.700 0.533
0.406 0.541 0.832
0.406 0.959 0.332
0.594 0.041 0.668
0.594 0.459 0.168
0.698 0.300 0.467
0.698 0.200 0.967
0.802 0.800 0.467
0.802 0.700 0.967
0.906 0.959 0.168
0.906 0.541 0.668
```


Record 11
Material: AcCd11Hg
Method: DFT, PBE-GGA
State: relaxed

Computed properties:
The formation energy from the elements comes out at -164.7 kJ/mol of formula units. For the size of the total moment, the calculation gives 0.000 μB per formula unit.

```
AcCd11Hg
1.0
-2.569 -5.226 1.816
5.134 -5.133 2.702
-2.073 0.057 7.478
Ac Cd Hg
1 11 1
direct
0.000 0.000 0.000
0.282 0.216 0.216
0.718 0.784 0.784
0.502 0.784 0.216
0.498 0.216 0.784
0.352 0.646 0.645
0.648 0.354 0.355
0.003 0.354 0.645
0.997 0.646 0.355
0.000 0.500 0.000
0.500 0.000 0.500
0.000 0.000 0.500
0.500 0.500 0.000
```


Record 12
Material: Y2SiAg2
Method: DFT, PBE-GGA
State: relaxed

Computed properties:
For the size of the total moment, the calculation gives 0.000 μB per formula unit. The uncorrected formation energy is -0.260 eV/atom. As for the relative energy among the computed polymorphs: 0.000 eV/atom.

```
Y2SiAg2
1.0
7.161 0.000 0.000
0.000 7.161 0.000
0.000 0.000 4.385
Y Si Ag
4 2 4
direct
0.174 0.674 0.500
0.674 0.826 0.500
0.826 0.326 0.500
0.326 0.174 0.500
0.000 0.000 0.000
0.500 0.500 0.000
0.365 0.865 0.000
0.865 0.635 0.000
0.635 0.135 0.000
0.135 0.365 0.000
```


Record 13
Material: TaCr2Au
Method: DFT, PBE-GGA
State: relaxed

Computed properties:
The formation energy from the elements comes out at 73.3 kJ/mol of formula units. For the size of the total moment, the calculation gives 0.000 μB per formula unit. As for the relative energy among the computed polymorphs: 0.111 eV/atom.

```
TaCr2Au
1.0
-0.556 -3.786 0.183
0.535 -0.212 -2.758
5.807 -0.893 -0.843
Au Cr Ta
1 2 1
direct
0.500 0.756 0.760
0.000 0.051 0.045
0.500 0.226 0.223
0.000 0.467 0.472
```


Record 14
Material: Be2FeBr
Method: DFT, PBE-GGA
State: relaxed

Computed properties:
For the size of the total moment, the calculation gives 2.241 μB per formula unit. The uncorrected formation energy is 0.838 eV/atom. As for the relative energy among the computed polymorphs: 0.568 eV/atom.

```
Be2FeBr
1.0
-5.930 2.522 -0.497
-2.540 -5.941 0.161
-4.394 -1.572 2.430
Be Fe Br
4 2 2
direct
0.623 0.125 0.250
0.127 0.625 0.250
0.375 0.377 0.750
0.875 0.873 0.750
0.500 0.500 0.000
0.250 0.750 0.500
0.000 0.000 0.000
0.750 0.250 0.500
```


Record 15
Material: In2HgMo
Method: DFT, PBE-GGA
State: relaxed

Computed properties:
The formation energy from the elements comes out at 173.8 kJ/mol of formula units. For the size of the total moment, the calculation gives 0.003 μB per formula unit.

```
In2HgMo
1.0
-2.668 1.664 -0.260
-2.286 -3.732 -0.418
-0.718 -0.225 5.938
Hg In Mo
1 2 1
direct
0.500 0.500 0.750
0.000 0.000 0.987
0.500 0.500 0.280
0.000 0.000 0.483
```


Record 16
Material: ScPS4Br
Method: DFT, PBE-GGA
State: relaxed

Computed properties:
For the size of the total moment, the calculation gives 0.000 μB per formula unit. The uncorrected formation energy is -0.670 eV/atom.

```
ScPS4Br
1.0
-6.765 2.154 1.704
-5.918 -3.408 -2.582
1.103 -5.568 7.444
Sc P S Br
2 2 8 2
direct
0.156 0.156 0.994
0.844 0.844 0.006
0.638 0.638 0.718
0.362 0.362 0.282
0.333 0.333 0.486
0.667 0.667 0.514
0.058 0.497 0.161
0.516 0.516 0.277
0.503 0.942 0.839
0.497 0.058 0.161
0.484 0.484 0.723
0.942 0.503 0.839
0.021 0.021 0.187
0.979 0.979 0.813
```


Record 17
Material: Ba4LiB3N6
Method: DFT, PBE-GGA
State: relaxed

Computed properties:
For the size of the total moment, the calculation gives 0.000 μB per formula unit. The uncorrected formation energy is -0.973 eV/atom.

```
Ba4LiB3N6
1.0
-5.238 -4.223 -1.363
5.578 -2.099 -3.408
1.285 -0.050 6.744
Ba Li B N
4 1 3 6
direct
0.500 0.500 0.500
0.000 0.000 0.500
0.000 0.500 0.000
0.500 0.000 0.000
0.000 0.000 0.000
0.000 0.500 0.500
0.500 0.000 0.500
0.500 0.500 0.000
0.000 0.329 0.329
0.000 0.671 0.671
0.329 0.000 0.329
0.671 0.000 0.671
0.329 0.329 0.000
0.671 0.671 0.000
```


Record 18
Material: Ac2Mg12Sn7
Method: DFT, PBE-GGA
State: relaxed

Computed properties:
The formation energy from the elements comes out at -603.1 kJ/mol of formula units. For the size of the total moment, the calculation gives 0.000 μB per formula unit.

```
Ac2Mg12Sn7
1.0
4.609 0.000 0.000
0.000 10.146 -5.858
0.000 0.000 11.716
Ac Mg Sn
2 12 7
direct
0.251 0.333 0.667
0.749 0.667 0.333
0.252 0.615 0.041
0.252 0.426 0.385
0.252 0.959 0.574
0.748 0.385 0.959
0.748 0.574 0.615
0.748 0.041 0.426
0.243 0.106 0.257
0.243 0.151 0.894
0.243 0.743 0.849
0.757 0.894 0.743
0.757 0.849 0.106
0.757 0.257 0.151
0.500 0.000 0.000
0.249 0.870 0.290
0.249 0.421 0.130
0.249 0.710 0.579
0.751 0.130 0.710
0.751 0.579 0.870
0.751 0.290 0.421
```


Record 19
Material: In6Hg2Pb
Method: DFT, PBE-GGA
State: relaxed

Computed properties:
The formation energy from the elements comes out at 25.9 kJ/mol of formula units. For the size of the total moment, the calculation gives 0.000 μB per formula unit. As for the relative energy among the computed polymorphs: 0.015 eV/atom.

```
In6Hg2Pb
1.0
-3.117 -0.501 0.978
-2.442 -3.764 -4.128
1.487 -13.552 3.378
In Hg Pb
6 2 1
direct
0.741 0.404 0.113
0.259 0.596 0.887
0.374 0.704 0.548
0.036 0.679 0.249
0.964 0.321 0.751
0.626 0.296 0.452
0.316 0.051 0.317
0.684 0.949 0.683
0.000 0.000 0.000
```


Record 20
Material: Sc2Pb2S
Method: DFT, PBE-GGA
State: relaxed

Computed properties:
For the size of the total moment, the calculation gives 0.000 μB per formula unit. The uncorrected formation energy is -0.856 eV/atom. As for the relative energy among the computed polymorphs: 0.000 eV/atom.

```
Sc2Pb2S
1.0
-1.327 -1.641 2.897
-0.555 -3.539 -0.040
9.350 -3.332 4.613
Sc Pb S
2 2 1
direct
0.712 0.213 0.362
0.288 0.787 0.638
0.452 0.952 0.143
0.548 0.048 0.857
0.000 0.500 0.500
```